Entry 1:
This record from Alexandria describes a relaxed structure of PrNdCdRu. The functional is PBE-GGA.

a b c (Å): 3.5840 3.5840 7.9758
angles (deg): 90.00 90.00 90.00
Element x y z (fractional)
Nd1 0.5000 0.5000 0.3549
Ru1 0.0000 0.0000 0.5684
Cd1 0.0000 0.0000 0.0741
Pr1 0.5000 0.5000 0.7874

Properties
D(E_F), states/eV/atom: 1.057

=====

Entry 2:
This record from Alexandria describes a relaxed structure of CaGaAg2. The functional is PBE-GGA.

a b c (Å): 5.7880 7.5283 7.8165
angles (deg): 90.00 90.00 90.00
Element x y z (fractional)
Ag1 0.4075 0.5549 0.3209
Ga1 0.3678 0.7500 0.6234
Ag2 0.5925 0.0549 0.6791
Ag3 0.9075 0.4451 0.1791
Ca1 0.6349 0.7500 0.9701
Ag4 0.0925 0.5549 0.8209
Ag5 0.4075 0.9451 0.3209
Ga2 0.1322 0.7500 0.1234
Ga3 0.8678 0.2500 0.8766
Ag6 0.5925 0.4451 0.6791
Ag7 0.0925 0.9451 0.8209
Ca2 0.8651 0.7500 0.4701
Ga4 0.6322 0.2500 0.3766
Ag8 0.9075 0.0549 0.1791
Ca3 0.1349 0.2500 0.5299
Ca4 0.3651 0.2500 0.0299

Properties
D(E_F), states/eV/atom: 0.313

=====

Energy of formation values, unit eV per atom, following the record order: -0.23; -0.32.